[1]
TbNdY2S6: optimized geometry, PBE.

Values from the calculation:
E_form (uncorrected) = -2.049 eV/atom
SG = R3, No. 146

abc: 7.407 7.407 7.407
angles: 56.41 56.41 56.41
Atoms (fractional coordinates):
1 Tb 0.000 0.000 0.000
2 Nd 0.504 0.504 0.504
3 Y 0.300 0.300 0.300
4 Y 0.798 0.798 0.798
5 S 0.093 0.402 0.698
6 S 0.184 0.915 0.595
7 S 0.402 0.698 0.093
8 S 0.595 0.184 0.915
9 S 0.698 0.093 0.402
10 S 0.915 0.595 0.184

=====

[2]
TbNdY2S4: optimized geometry, PBE.

Values from the calculation:
E_form (uncorrected) = -2.003 eV/atom
SG = P2/m, No. 10

abc: 6.874 3.920 6.890
angles: 90.00 108.99 90.00
Atoms (fractional coordinates):
1 Tb 0.000 0.000 0.000
2 Nd 0.500 0.500 0.000
3 Y 0.000 0.500 0.500
4 Y 0.500 0.000 0.500
5 S 0.241 0.000 0.740
6 S 0.246 0.500 0.255
7 S 0.754 0.500 0.745
8 S 0.759 0.000 0.260

=====

[3]
Tb3NdY4S8: optimized geometry, PBE.

Values from the calculation:
E_form (uncorrected) = -1.999 eV/atom
SG = R-3m, No. 166

abc: 7.887 7.887 7.887
angles: 59.97 59.97 59.97
Atoms (fractional coordinates):
1 Tb 0.000 0.500 0.500
2 Tb 0.500 0.000 0.500
3 Tb 0.500 0.500 0.000
4 Nd 0.000 0.000 0.000
5 Y 0.000 0.000 0.500
6 Y 0.000 0.500 0.000
7 Y 0.500 0.000 0.000
8 Y 0.500 0.500 0.500
9 S 0.250 0.250 0.250
10 S 0.254 0.745 0.745
11 S 0.255 0.255 0.746
12 S 0.255 0.746 0.255
13 S 0.745 0.254 0.745
14 S 0.745 0.745 0.254
15 S 0.746 0.255 0.255
16 S 0.750 0.750 0.750

=====

[4]
Tb4Nd3YS8: optimized geometry, PBE.

Values from the calculation:
E_form (uncorrected) = -2.009 eV/atom
SG = R-3m, No. 166

abc: 7.984 7.984 7.984
angles: 59.66 59.66 59.66
Atoms (fractional coordinates):
1 Tb 0.000 0.000 0.000
2 Tb 0.000 0.500 0.500
3 Tb 0.500 0.000 0.500
4 Tb 0.500 0.500 0.000
5 Nd 0.000 0.000 0.500
6 Nd 0.000 0.500 0.000
7 Nd 0.500 0.000 0.000
8 Y 0.500 0.500 0.500
9 S 0.250 0.250 0.741
10 S 0.250 0.741 0.250
11 S 0.255 0.255 0.255
12 S 0.259 0.750 0.750
13 S 0.741 0.250 0.250
14 S 0.745 0.745 0.745
15 S 0.750 0.259 0.750
16 S 0.750 0.750 0.259

=====

[5]
TbNd2ZnS5: optimized geometry, PBE.

Values from the calculation:
E_form (uncorrected) = -1.747 eV/atom
SG = Cmc2_1, No. 36

abc: 8.710 8.710 12.004
angles: 90.00 90.00 154.27
Atoms (fractional coordinates):
1 Tb 0.196 0.804 0.500
2 Tb 0.804 0.196 0.000
3 Nd 0.115 0.885 0.168
4 Nd 0.131 0.869 0.805
5 Nd 0.869 0.131 0.305
6 Nd 0.885 0.115 0.668
7 Zn 0.455 0.545 0.928
8 Zn 0.545 0.455 0.428
9 S 0.037 0.963 0.532
10 S 0.292 0.708 0.161
11 S 0.317 0.683 0.838
12 S 0.356 0.644 0.489
13 S 0.493 0.507 0.253
14 S 0.507 0.493 0.753
15 S 0.644 0.356 0.989
16 S 0.683 0.317 0.338
17 S 0.708 0.292 0.661
18 S 0.963 0.037 0.032

=====

[6]
NdTcS2: optimized geometry, PBE.

Values from the calculation:
E_form (uncorrected) = -0.396 eV/atom
SG = R-3m, No. 166

abc: 8.459 8.459 8.459
angles: 24.69 24.69 24.69
Atoms (fractional coordinates):
1 Nd 0.000 0.000 0.000
2 Tc 0.500 0.500 0.500
3 S 0.114 0.114 0.114
4 S 0.886 0.886 0.886

=====

[7]
NdTeS2: optimized geometry, PBE.

Values from the calculation:
E_form (uncorrected) = -1.061 eV/atom
SG = R-3m, No. 166

abc: 8.625 8.625 8.625
angles: 28.02 28.02 28.02
Atoms (fractional coordinates):
1 Nd 0.000 0.000 0.000
2 Te 0.500 0.500 0.500
3 S 0.393 0.393 0.393
4 S 0.607 0.607 0.607

=====

[8]
Nd4Te3S2: optimized geometry, PBE.

Values from the calculation:
E_form (uncorrected) = -1.585 eV/atom
SG = C2/c, No. 15

abc: 9.612 9.612 6.057
angles: 90.78 90.78 77.40
Atoms (fractional coordinates):
1 Nd 0.075 0.708 0.979
2 Nd 0.210 0.428 0.501
3 Nd 0.292 0.925 0.521
4 Nd 0.428 0.210 0.001
5 Nd 0.572 0.790 0.999
6 Nd 0.708 0.075 0.479
7 Nd 0.790 0.572 0.499
8 Nd 0.925 0.292 0.021
9 Te 0.012 0.774 0.478
10 Te 0.226 0.988 0.022
11 Te 0.388 0.612 0.750
12 Te 0.612 0.388 0.250
13 Te 0.774 0.012 0.978
14 Te 0.988 0.226 0.522
15 S 0.175 0.412 0.026
16 S 0.412 0.175 0.526
17 S 0.588 0.825 0.474
18 S 0.825 0.588 0.974